No. 1
Density functional theory data (GGA-PBE) for a geometry-optimized Ho3TiTl4S8 structure.

The space group is R-3m (No. 166, hexagonal axes) and the conventional cell measures 7.8386, 7.8386 and 22.5779 Å, with angles of 90.00, 90.00 and 120.00 degrees. Symmetry generates all atoms from Ho at (0.0000, 0.5000, 0.0000), Ti at (0.0000, 0.0000, 0.0000), Tl at (0.0000, 0.0000, 0.5000), Tl at (0.0000, 0.5000, 0.5000), S at (0.0000, 0.0000, 0.2667) and S at (0.0186, 0.5093, 0.7306).

The density of states at the Fermi level comes out at 18.66 states/eV per cell. The raw formation energy comes out at -127.8 kJ per mole of atoms. Its volume is 1201.4 Å³ per cell.



No. 2
Density functional theory data (GGA-PBE) for a geometry-optimized CaEr2Se4 structure.

The space group is Cmcm (No. 63) and the conventional cell measures 4.040, 13.331 and 13.908 Å, with angles of 90.00, 90.00 and 90.00 degrees. Symmetry generates all atoms from Ca at (0.000, 0.113, 0.250), Er at (0.000, 0.366, 0.071), Se at (0.000, 0.000, 0.000), Se at (0.000, 0.273, 0.618) and Se at (0.000, 0.457, 0.250).

The raw formation energy comes out at -183.4 kJ per mole of atoms. Its volume is 749.0 Å³ per cell. The calculation puts the energy above the most stable polymorph in this dataset at 12 meV/atom.



No. 3
Density functional theory data (GGA-PBE) for a geometry-optimized HfPbAu2 structure.

The space group is I-42d (No. 122) and the conventional cell measures 7.772, 7.772 and 6.133 Å, with angles of 90.00, 90.00 and 90.00 degrees. Symmetry generates all atoms from Hf at (0.000, 0.000, 0.000), Pb at (0.000, 0.000, 0.500) and Au at (0.230, 0.250, 0.125).

The density of states at the Fermi level comes out at 4.76 states/eV per cell. The value obtained for the energy of formation is -46 meV/atom. Its volume is 370.5 Å³ per cell.



No. 4
Density functional theory data (GGA-PBE) for a geometry-optimized PmTaNbO6 structure.

The space group is P4_2nm (No. 102) and the conventional cell measures 4.974, 4.974 and 9.876 Å, with angles of 90.00, 90.00 and 90.00 degrees. Symmetry generates all atoms from Pm at (0.000, 0.000, 0.000), Ta at (0.000, 0.000, 0.336), Nb at (0.000, 0.000, 0.672), O at (0.174, 0.174, 0.499), O at (0.209, 0.209, 0.194) and O at (0.216, 0.216, 0.816).

The density of states at the Fermi level comes out at 8.07 states/eV per cell. The raw formation energy comes out at -273.3 kJ per mole of atoms. Its volume is 244.3 Å³ per cell.